Crystalline Li2LaY2Bi2 at its relaxed geometry. Source: Alexandria via LeMat-Bulk, functional PBE.

Lattice parameters (Å, degrees): 4.8969 4.8969 9.6456 75.30 75.30 60.00
Atoms (fractional coordinates):
1 Li 0.5826 0.5826 0.2523
2 Y 0.1330 0.1330 0.6011
3 Li 0.4174 0.4174 0.7477
4 Bi 0.2613 0.2613 0.2162
5 La 0.0000 0.0000 0.0000
6 Bi 0.7387 0.7387 0.7838
7 Y 0.8670 0.8670 0.3989

Calculated values
Total energy in eV per cell: -32.67
Crystal system: trigonal
SG: R-3m (166)
ΔE_f in eV/atom: -0.46
Density in Mg/m³: 6.49
Magnetic moment in μB per cell: 1.47

Crystalline Li2LaYBi at its relaxed geometry. Source: Alexandria via LeMat-Bulk, functional PBE.

Lattice parameters (Å, degrees): 5.1722 6.3135 5.1722 90.00 90.00 90.00
Atoms (fractional coordinates):
1 Li 0.5000 0.0000 0.0000
2 Y 0.5000 0.5000 0.5000
3 La 0.0000 0.5000 0.0000
4 Bi 0.0000 0.0000 0.0000
5 Li 0.0000 0.0000 0.5000

Calculated values
Total energy in eV per cell: -18.70
Crystal system: tetragonal
SG: P4/mmm (123)
ΔE_f in eV/atom: 0.08
Density in Mg/m³: 4.43
Magnetic moment in μB per cell: 0.00

Crystalline La2LuBi at its relaxed geometry. Source: Alexandria via LeMat-Bulk, functional PBE.

Lattice parameters (Å, degrees): 5.0109 4.9939 4.9939 90.00 90.00 90.00
Atoms (fractional coordinates):
1 Lu 0.5000 0.5000 0.5000
2 La 0.0000 0.0000 0.5000
3 La 0.0000 0.5000 0.0000
4 Bi 0.5000 0.0000 0.0000

Calculated values
Distance to the lowest polymorph of the same formula in meV/atom: 3
Total energy in eV per cell: -19.92
Crystal system: tetragonal
SG: P4/mmm (123)
ΔE_f in eV/atom: -0.42
Density in Mg/m³: 8.79
Magnetic moment in μB per cell: 0.00

Crystalline LaLuBi2 at its relaxed geometry. Source: Alexandria via LeMat-Bulk, functional PBE.

Lattice parameters (Å, degrees): 4.5755 4.5755 7.8510 73.06 73.06 60.00
Atoms (fractional coordinates):
1 La 0.5000 0.5000 0.5000
2 Lu 0.0000 0.0000 0.0000
3 Bi 0.7440 0.7440 0.7679
4 Bi 0.2560 0.2560 0.2321

Calculated values
Total energy in eV per cell: -20.76
Crystal system: trigonal
SG: R-3m (166)
ΔE_f in eV/atom: -0.89
Density in Mg/m³: 9.07
Magnetic moment in μB per cell: 0.00

Crystalline La2LuBi at its relaxed geometry. Source: Alexandria via LeMat-Bulk, functional PBE.

Lattice parameters (Å, degrees): 4.3471 4.3471 7.0096 90.00 90.00 90.00
Atoms (fractional coordinates):
1 La 0.0000 0.0000 0.7649
2 Bi 0.5000 0.5000 0.0000
3 La 0.0000 0.0000 0.2351
4 Lu 0.5000 0.5000 0.5000

Calculated values
Distance to the lowest polymorph of the same formula in meV/atom: 0
Total energy in eV per cell: -19.93
Crystal system: tetragonal
SG: P4/mmm (123)
ΔE_f in eV/atom: -0.42
Density in Mg/m³: 8.30
Magnetic moment in μB per cell: 0.00

Crystalline LaLuTlBi at its relaxed geometry. Source: Alexandria via LeMat-Bulk, functional PBE.

Lattice parameters (Å, degrees): 5.5330 5.5330 5.5330 60.00 60.00 60.00
Atoms (fractional coordinates):
1 Tl 0.0000 0.0000 0.0000
2 Lu 0.2500 0.2500 0.2500
3 La 0.7500 0.7500 0.7500
4 Bi 0.5000 0.5000 0.5000

Calculated values
Total energy in eV per cell: -17.40
Crystal system: cubic
SG: F-43m (216)
ΔE_f in eV/atom: -0.43
Density in Mg/m³: 10.08
Magnetic moment in μB per cell: 0.00

Crystalline LaMgBi2 at its relaxed geometry. Source: Alexandria via LeMat-Bulk, functional PBE.

Lattice parameters (Å, degrees): 4.6304 4.6304 11.3120 90.00 90.00 90.00
Atoms (fractional coordinates):
1 Bi 0.5000 0.0000 0.1800
2 Mg 0.5000 0.5000 0.0000
3 Bi 0.5000 0.5000 0.5000
4 La 0.0000 0.5000 0.2755
5 La 0.5000 0.0000 0.7245
6 Bi 0.0000 0.0000 0.5000
7 Mg 0.0000 0.0000 0.0000
8 Bi 0.0000 0.5000 0.8200

Calculated values
Total energy in eV per cell: -33.44
Crystal system: tetragonal
SG: P4/nmm (129)
ΔE_f in eV/atom: -0.61
Density in Mg/m³: 7.96
Magnetic moment in μB per cell: 0.18

Crystalline La3MgBi5 at its relaxed geometry. Source: Alexandria via LeMat-Bulk, functional PBE.

Lattice parameters (Å, degrees): 9.9124 9.9124 6.5734 90.00 90.00 120.00
Atoms (fractional coordinates):
1 Bi 0.7332 0.0000 0.7500
2 Bi 0.3333 0.6667 0.5000
3 Bi 0.7332 0.7332 0.2500
4 Bi 0.0000 0.2668 0.2500
5 Bi 0.0000 0.7332 0.7500
6 Mg 0.0000 0.0000 0.0000
7 Bi 0.2668 0.2668 0.7500
8 La 0.6212 0.6212 0.7500
9 La 0.3788 0.0000 0.7500
10 Bi 0.6667 0.3333 0.5000
11 La 0.6212 0.0000 0.2500
12 Bi 0.3333 0.6667 0.0000
13 Bi 0.2668 0.0000 0.2500
14 La 0.3788 0.3788 0.2500
15 Mg 0.0000 0.0000 0.5000
16 Bi 0.6667 0.3333 0.0000
17 La 0.0000 0.6212 0.2500
18 La 0.0000 0.3788 0.7500

Calculated values
Total energy in eV per cell: -84.74
Crystal system: hexagonal
SG: P6_3/mcm (193)
ΔE_f in eV/atom: -0.73
Density in Mg/m³: 8.82
Magnetic moment in μB per cell: 0.00

Crystalline La2MgBi4 at its relaxed geometry. Source: Alexandria via LeMat-Bulk, functional PBE.

Lattice parameters (Å, degrees): 5.4773 5.4773 9.1376 72.56 72.56 90.00
Atoms (fractional coordinates):
1 Bi 0.0000 0.5000 0.0000
2 Bi 0.5000 0.0000 0.0000
3 Bi 0.8211 0.8211 0.3579
4 Bi 0.1789 0.1789 0.6421
5 La 0.6256 0.6256 0.7487
6 La 0.3744 0.3744 0.2513
7 Mg 0.0000 0.0000 0.0000

Calculated values
Distance to the lowest polymorph of the same formula in meV/atom: 366
Total energy in eV per cell: -28.96
Crystal system: tetragonal
SG: I4/mmm (139)
ΔE_f in eV/atom: -0.28
Density in Mg/m³: 7.61
Magnetic moment in μB per cell: 0.00

Crystalline LaMg2Bi2 at its relaxed geometry. Source: Alexandria via LeMat-Bulk, functional PBE.

Lattice parameters (Å, degrees): 4.5667 4.5834 13.9912 90.00 99.39 90.00
Atoms (fractional coordinates):
1 Mg 0.4610 0.7500 0.9221
2 Bi 0.2501 0.7500 0.5002
3 Bi 0.1187 0.2500 0.2374
4 Mg 0.5390 0.2500 0.0779
5 La 0.3442 0.2500 0.6884
6 Mg 0.0413 0.7500 0.0826
7 Bi 0.7499 0.2500 0.4998
8 La 0.6558 0.7500 0.3116
9 Bi 0.8813 0.7500 0.7626
10 Mg 0.9587 0.2500 0.9174

Calculated values
Total energy in eV per cell: -36.75
Crystal system: orthorhombic
SG: Cmcm (63)
ΔE_f in eV/atom: -0.50
Density in Mg/m³: 6.96
Magnetic moment in μB per cell: 0.00

Crystalline LaMg2Bi2 at its relaxed geometry. Source: Alexandria via LeMat-Bulk, functional PBE.

Lattice parameters (Å, degrees): 8.5473 8.5473 3.8681 90.00 90.00 90.00
Atoms (fractional coordinates):
1 La 0.0000 0.0000 0.0000
2 La 0.5000 0.5000 0.0000
3 Mg 0.1201 0.3799 0.0000
4 Mg 0.8799 0.6201 0.0000
5 Mg 0.6201 0.1201 0.0000
6 Bi 0.6788 0.8212 0.5000
7 Bi 0.1788 0.6788 0.5000
8 Mg 0.3799 0.8799 0.0000
9 Bi 0.8212 0.3212 0.5000
10 Bi 0.3212 0.1788 0.5000

Calculated values
Total energy in eV per cell: -35.13
Crystal system: tetragonal
SG: P4/mbm (127)
ΔE_f in eV/atom: -0.34
Density in Mg/m³: 7.12
Magnetic moment in μB per cell: 0.00

Crystalline LaMg2Bi2 at its relaxed geometry. Source: Alexandria via LeMat-Bulk, functional PBE.

Lattice parameters (Å, degrees): 5.4661 5.4661 6.3786 64.63 64.63 90.00
Atoms (fractional coordinates):
1 Mg 0.3624 0.3624 0.2752
2 Bi 0.2500 0.7500 0.5000
3 Mg 0.6376 0.6376 0.7248
4 Bi 0.7500 0.2500 0.5000
5 La 0.0000 0.0000 0.0000

Calculated values
Total energy in eV per cell: -17.39
Crystal system: tetragonal
SG: I4/mmm (139)
ΔE_f in eV/atom: -0.30
Density in Mg/m³: 6.63
Magnetic moment in μB per cell: 0.00